Record 1
The following is a PBE-GGA calculation of an optimized crystal structure of Sm6GeTe3Pt2, from Alexandria.

For the formation energy (no corrections), the calculation gives -1.2265 eV per atom. As for the density of states at the Fermi level: 6.56 states/eV/cell. Its volume is 349 Å³/cell. As for the crystal system: monoclinic.

Cell: 9.8640 9.8640 8.8626 Å, 106.19 106.19 24.97°
Fractional coordinates of all 12 atoms:
Sm (0.0070, 0.0070, 0.2360)
Sm (0.3249, 0.3249, 0.4337)
Sm (0.3392, 0.3392, 0.8915)
Sm (0.6608, 0.6608, 0.1085)
Sm (0.6751, 0.6751, 0.5663)
Sm (0.9930, 0.9930, 0.7640)
Ge (0.5000, 0.5000, 0.0000)
Te (0.1649, 0.1649, 0.8390)
Te (0.5000, 0.5000, 0.5000)
Te (0.8351, 0.8351, 0.1610)
Pt (0.1676, 0.1676, 0.3380)
Pt (0.8324, 0.8324, 0.6620)

Record 2
The following is a PBE-GGA calculation of an optimized crystal structure of LaCePr2N4, from Alexandria.

For the formation energy (no corrections), the calculation gives -1.3604 eV per atom. As for the density of states at the Fermi level: 3.28 states/eV/cell. Its volume is 140 Å³/cell. As for the crystal system: monoclinic.

Cell: 6.3413 3.6718 6.3567 Å, 90.00 109.32 90.00°
Fractional coordinates of all 8 atoms:
La (0.0000, 0.0000, 0.0000)
Ce (0.0000, 0.5000, 0.5000)
Pr (0.5000, 0.0000, 0.5000)
Pr (0.5000, 0.5000, 0.0000)
N (0.2377, 0.0000, 0.7361)
N (0.2415, 0.5000, 0.2610)
N (0.7585, 0.5000, 0.7390)
N (0.7623, 0.0000, 0.2639)

Record 3
The following is a PBE-GGA calculation of an optimized crystal structure of MgReSi2, from Alexandria.

For the formation energy (no corrections), the calculation gives 0.4527 eV per atom. As for the density of states at the Fermi level: 7.11 states/eV/cell. Its volume is 165 Å³/cell. As for the crystal system: tetragonal.

Cell: 8.6217 8.6217 8.6217 Å, 149.46 149.46 43.73°
Fractional coordinates of all 8 atoms:
Mg (0.0000, 0.0000, 0.0000)
Mg (0.7500, 0.2500, 0.5000)
Re (0.2500, 0.7500, 0.5000)
Re (0.5000, 0.5000, 0.0000)
Si (0.2715, 0.6250, 0.1465)
Si (0.3750, 0.5215, 0.6465)
Si (0.4785, 0.1250, 0.8535)
Si (0.8750, 0.7285, 0.3535)

Record 4
The following is a PBE-GGA calculation of an optimized crystal structure of ZrTlCu, from Alexandria.

As for the formation energy: -7 meV per atom. As for the density of states at the Fermi level: 3.31 states/eV/cell. Its volume is 120 Å³/cell. As for the crystal system: triclinic.

Cell: 3.4710 6.1315 6.2377 Å, 75.00 73.88 73.60°
Fractional coordinates of all 6 atoms:
Zr (0.0994, 0.1768, 0.1253)
Zr (0.9006, 0.8232, 0.8747)
Tl (0.3430, 0.2282, 0.5834)
Tl (0.6570, 0.7718, 0.4166)
Cu (0.3829, 0.5478, 0.1875)
Cu (0.6171, 0.4522, 0.8125)